VASP calculation (meta-GGA SCAN) on a crystal of TaTc2Hg relaxed with PBEsol.

Geometry as extended XYZ:
```
4
Lattice="2.8209 -4.5864 0.0000 2.8209 4.5864 0.0000 -1.1974 0.0000 2.4915" Properties=species:S:1:pos:R:3 pbc="T T T"
Ta 0.0000 0.0000 0.0000
Tc 0.8118 2.2932 1.2458
Tc 0.8118 -2.2932 1.2458
Hg 2.8209 0.0000 0.0000
```

calculated total energy	-203.49	eV for the cell shown
crystal system	monoclinic
space-group type	C2/m (12)
ΔE_f	345	meV per atom
M_tot	0.0	Bohr magnetons per cell


VASP calculation (meta-GGA SCAN) on a crystal of TaTc2Hg relaxed with PBEsol.

Geometry as extended XYZ:
```
4
Lattice="-1.9712 1.9712 4.0810 1.9712 -1.9712 4.0810 1.9712 1.9712 -4.0810" Properties=species:S:1:pos:R:3 pbc="T T T"
Ta 0.0000 0.0000 0.0000
Tc 0.0000 0.0000 4.0810
Tc 0.0000 1.9712 2.0405
Hg 1.9712 0.0000 2.0405
```

calculated total energy	-204.11	eV for the cell shown
crystal system	tetragonal
space-group type	I-4m2 (119)
ΔE_f	189	meV per atom
M_tot	0.0	Bohr magnetons per cell


VASP calculation (meta-GGA SCAN) on a crystal of TaTc2Hg relaxed with PBEsol.

Geometry as extended XYZ:
```
4
Lattice="1.4997 0.8659 8.6169 -1.4997 0.8659 8.6169 0.0000 -1.7317 8.6169" Properties=species:S:1:pos:R:3 pbc="T T T"
Ta 0.0000 0.0000 0.0000
Tc 0.0000 0.0000 6.6446
Tc 0.0000 0.0000 19.2061
Hg 0.0000 0.0000 12.9254
```

calculated total energy	-203.87	eV for the cell shown
crystal system	trigonal
space-group type	R-3m (166)
ΔE_f	249	meV per atom
M_tot	0.0	Bohr magnetons per cell


VASP calculation (meta-GGA SCAN) on a crystal of Ta4HgTe relaxed with PBEsol.

Geometry as extended XYZ:
```
6
Lattice="0.0000 3.8952 3.8952 3.8952 0.0000 3.8952 3.8952 3.8952 0.0000" Properties=species:S:1:pos:R:3 pbc="T T T"
Ta 0.9651 0.9651 0.9651
Ta 2.9301 2.9301 0.9651
Ta 2.9301 0.9651 2.9301
Ta 0.9651 2.9301 2.9301
Hg 5.8428 5.8428 5.8428
Te 3.8952 3.8952 3.8952
```

calculated total energy	-368.69	eV for the cell shown
crystal system	cubic
space-group type	F-43m (216)
M_tot	0.0	Bohr magnetons per cell


VASP calculation (meta-GGA SCAN) on a crystal of TaTiZn2Hg relaxed with PBEsol.

Geometry as extended XYZ:
```
5
Lattice="4.5760 0.0000 0.0000 0.0000 4.5760 0.0000 0.0000 0.0000 4.8758" Properties=species:S:1:pos:R:3 pbc="T T T"
Ta 0.0000 0.0000 0.0000
Ti 2.2880 2.2880 2.4379
Zn 0.0000 2.2880 2.4379
Zn 2.2880 0.0000 2.4379
Hg 2.2880 2.2880 0.0000
```

calculated total energy	-170.82	eV for the cell shown
crystal system	tetragonal
space-group type	P4/mmm (123)
ΔE_f	1397	meV per atom
M_tot	1.0	Bohr magnetons per cell


VASP calculation (meta-GGA SCAN) on a crystal of TaTl2Hg relaxed with PBEsol.

Geometry as extended XYZ:
```
4
Lattice="-2.0993 2.0993 4.8218 2.0993 -2.0993 4.8218 2.0993 2.0993 -4.8218" Properties=species:S:1:pos:R:3 pbc="T T T"
Ta 0.0000 0.0000 0.0000
Tl 2.0993 0.0000 2.4109
Tl 0.0000 2.0993 2.4109
Hg 0.0000 0.0000 4.8218
```

energy above the lowest structure with this stoichiometry	116.8	meV per atom
calculated total energy	-276.87	eV for the cell shown
crystal system	tetragonal
space-group type	I4/mmm (139)
ΔE_f	649	meV per atom
M_tot	0.0	Bohr magnetons per cell


VASP calculation (meta-GGA SCAN) on a crystal of TaTl2Hg relaxed with PBEsol.

Geometry as extended XYZ:
```
4
Lattice="3.0132 0.0000 0.0000 0.0000 5.3524 0.0000 0.0000 0.0000 5.4556" Properties=species:S:1:pos:R:3 pbc="T T T"
Ta 0.0000 0.0000 0.0000
Tl 0.0000 2.6762 2.7278
Tl 1.5066 2.6762 0.0000
Hg 1.5066 0.0000 2.7278
```

energy above the lowest structure with this stoichiometry	0.0	meV per atom
calculated total energy	-277.34	eV for the cell shown
crystal system	orthorhombic
space-group type	Pmmm (47)
ΔE_f	532	meV per atom
M_tot	0.0	Bohr magnetons per cell


VASP calculation (meta-GGA SCAN) on a crystal of TaHg2W relaxed with PBEsol.

Geometry as extended XYZ:
```
4
Lattice="1.6756 -2.3660 0.0000 1.6756 2.3660 0.0000 0.0000 0.0000 9.3683" Properties=species:S:1:pos:R:3 pbc="T T T"
Ta 0.0000 0.0000 0.0000
Hg 0.0000 0.0000 4.4171
Hg 1.6756 0.0000 6.9749
W 1.6756 0.0000 2.0490
```

calculated total energy	-271.11	eV for the cell shown
crystal system	orthorhombic
space-group type	Cmm2 (35)
ΔE_f	374	meV per atom
M_tot	0.0	Bohr magnetons per cell